Density functional theory data (GGA-PBE) for a relaxed structure of SrRu3.

abc: 5.241 5.241 5.241
angles: 90.00 90.00 90.00
Atoms (fractional coordinates):
Sr  0.000  0.000  0.000
Sr  0.500  0.500  0.500
Ru  0.000  0.250  0.500
Ru  0.000  0.750  0.500
Ru  0.250  0.500  0.000
Ru  0.500  0.000  0.250
Ru  0.500  0.000  0.750
Ru  0.750  0.500  0.000

Summary:
- crystal system = cubic
- energy of formation from the pure elements (eV per atom) = 1.1242
- E_tot (eV for the cell shown) = -50.025

***

Density functional theory data (GGA-PBE) for a relaxed structure of ZrBPdRh2.

abc: 4.157 4.157 4.233
angles: 90.00 90.00 90.00
Atoms (fractional coordinates):
Zr  0.000  0.000  0.000
B  0.500  0.500  0.500
Pd  0.500  0.500  0.000
Rh  0.000  0.500  0.500
Rh  0.500  0.000  0.500

Summary:
- crystal system = tetragonal
- energy of formation from the pure elements (eV per atom) = -0.5687
- E_tot (eV for the cell shown) = -37.965

***

Density functional theory data (GGA-PBE) for a relaxed structure of Cs3AgPb2Br9.

abc: 8.193 8.193 10.054
angles: 90.00 90.00 120.00
Atoms (fractional coordinates):
Cs  0.000  0.000  0.000
Cs  0.333  0.667  0.662
Cs  0.667  0.333  0.338
Ag  0.000  0.000  0.500
Pb  0.333  0.667  0.182
Pb  0.667  0.333  0.818
Br  0.000  0.500  0.000
Br  0.161  0.322  0.340
Br  0.161  0.839  0.340
Br  0.322  0.161  0.660
Br  0.500  0.000  0.000
Br  0.500  0.500  0.000
Br  0.678  0.839  0.340
Br  0.839  0.161  0.660
Br  0.839  0.678  0.660

Summary:
- crystal system = trigonal
- E_tot (eV for the cell shown) = -45.198
- E_form (uncorrected) (kcal/mol of atoms) = -26.6